# CdAsPd2C (GGA-PBE, relaxed)
data_CdAsPd2C
_symmetry_space_group_name_H-M 'P 4/m m m'
_symmetry_Int_Tables_number 123
_symmetry_space_group_name_Hall '-P 4 2'
_cell_length_a 4.805
_cell_length_b 4.805
_cell_length_c 3.864
_cell_angle_alpha 90.00
_cell_angle_beta 90.00
_cell_angle_gamma 90.00
loop_
_atom_site_label
_atom_site_type_symbol
_atom_site_fract_x
_atom_site_fract_y
_atom_site_fract_z
_atom_site_occupancy
Cd1 Cd 0.000 0.000 0.000 1
As1 As 0.500 0.500 0.500 1
Pd1 Pd 0.000 0.500 0.500 1
C1 C 0.500 0.500 0.000 1
# Energy of formation from the pure elements (eV/f.u.): 4.1
# Size of the total moment (μB per cell): 0.00
# Density of states at the Fermi level (states/eV/atom): 0.59